Computed, not measured: an optimized crystal structure of NaInBr2 at the PBE level of DFT.

Calculated values
- E_form (uncorrected) (eV per atom) = -1.0757
- distance to the lowest polymorph of the same formula (meV/atom) = 13
- raw total energy (eV per atom) = -2.93

Cell: 4.3557 4.3557 23.4037 Å, 90.00 90.00 120.00°
Space group R3m (No. 160, hexagonal axes)
Symmetry-distinct sites (fractional):
Na 0.0000 0.0000 0.0000 (multiplicity 3)
In 0.0000 0.0000 0.8321 (multiplicity 3)
Br 0.0000 0.0000 0.4054 (multiplicity 3)
Br 0.0000 0.0000 0.5936 (multiplicity 3)